Below is a relaxed structure of AgRuF3, with properties calculated at the PBE-GGA level.

For the total energy, the calculation gives -22.046 eV/cell. The polymorph energy (0 for the lowest one) comes out at 0.000 eV per atom. The calculation puts the total magnetization at 0.16 μB/atom.

The space group is Pm-3m (No. 221) and the conventional cell measures 4.187, 4.187 and 4.187 Å, with angles of 90.00, 90.00 and 90.00 degrees. Symmetry generates all atoms from Ag at (0.000, 0.000, 0.000), Ru at (0.500, 0.500, 0.500) and F at (0.000, 0.500, 0.500).

***

Below is a relaxed structure of Li2AcHo, with properties calculated at the PBE-GGA level.

Its formation energy is 0.145 eV/atom. For the total energy, the calculation gives -11.934 eV/cell. The polymorph energy (0 for the lowest one) comes out at 0.000 eV per atom. The calculation puts the total magnetization at 0.00 μB/atom.

The space group is P4/mmm (No. 123) and the conventional cell measures 3.862, 3.862 and 7.775 Å, with angles of 90.00, 90.00 and 90.00 degrees. Symmetry generates all atoms from Li at (0.000, 0.000, 0.228), Ac at (0.500, 0.500, 0.500) and Ho at (0.500, 0.500, 0.000).

***

Below is a relaxed structure of BaTa, with properties calculated at the PBE-GGA level.

Its formation energy is 1.733 eV/atom. For the total energy, the calculation gives -10.309 eV/cell. The polymorph energy (0 for the lowest one) comes out at 1.214 eV per atom. The calculation puts the total magnetization at 0.00 μB/atom.

The space group is Pm-3m (No. 221) and the conventional cell measures 3.852, 3.852 and 3.852 Å, with angles of 90.00, 90.00 and 90.00 degrees. Symmetry generates all atoms from Ba at (0.000, 0.000, 0.000) and Ta at (0.500, 0.500, 0.500).